one) An optimized crystal structure of LaPrSc2, computed with PBE-GGA.

a = 5.226 Å, b = 5.226 Å, c = 4.412 Å
α = 90.00°, β = 90.00°, γ = 90.00°
Atoms (fractional coordinates):
La  0.000  0.000  0.000
Pr  0.500  0.500  0.000
Sc  0.000  0.500  0.500
Sc  0.500  0.000  0.500

Computed properties:
* calculated volume: 30.1 A^3/atom
* Fermi-level density of states: 5.1 states/eV/cell
* size of the total moment: 0.00 μB per formula unit

---

two) An optimized crystal structure of LaPrSc2, computed with PBE-GGA.

a = 11.392 Å, b = 11.392 Å, c = 11.392 Å
α = 17.71°, β = 17.71°, γ = 17.71°
Atoms (fractional coordinates):
La  0.000  0.000  0.000
Pr  0.834  0.834  0.834
Sc  0.416  0.416  0.416
Sc  0.584  0.584  0.584

Computed properties:
* calculated volume: 29.9 A^3/atom
* Fermi-level density of states: 6.3 states/eV/cell
* size of the total moment: 0.00 μB per formula unit

---

three) An optimized crystal structure of LaPrSc2, computed with PBE-GGA.

a = 5.553 Å, b = 5.553 Å, c = 5.553 Å
α = 60.00°, β = 60.00°, γ = 60.00°
Atoms (fractional coordinates):
La  0.000  0.000  0.000
Pr  0.500  0.500  0.500
Sc  0.250  0.250  0.250
Sc  0.750  0.750  0.750

Computed properties:
* calculated volume: 30.3 A^3/atom
* Fermi-level density of states: 6.6 states/eV/cell
* size of the total moment: 0.00 μB per formula unit

---

Of them, two) has the lowest stability.

---

one) An optimized crystal structure of LaPr2Sc, computed with PBE-GGA.

a = 5.084 Å, b = 5.084 Å, c = 5.104 Å
α = 90.00°, β = 90.00°, γ = 90.00°
Atoms (fractional coordinates):
La  0.000  0.000  0.000
Pr  0.000  0.500  0.500
Pr  0.500  0.000  0.500
Sc  0.500  0.500  0.000

Computed properties:
* calculated volume: 33.0 A^3/atom
* Fermi-level density of states: 5.0 states/eV/cell
* size of the total moment: 0.00 μB per formula unit

---

two) An optimized crystal structure of LaPr2Sc, computed with PBE-GGA.

a = 3.655 Å, b = 3.655 Å, c = 9.960 Å
α = 90.00°, β = 90.00°, γ = 90.00°
Atoms (fractional coordinates):
La  0.000  0.000  0.000
Pr  0.500  0.500  0.269
Pr  0.500  0.500  0.731
Sc  0.000  0.000  0.500

Computed properties:
* calculated volume: 33.3 A^3/atom
* Fermi-level density of states: 7.7 states/eV/cell
* size of the total moment: 0.00 μB per formula unit

---

three) An optimized crystal structure of LaPr2Sc, computed with PBE-GGA.

a = 11.959 Å, b = 11.959 Å, c = 11.959 Å
α = 17.36°, β = 17.36°, γ = 17.36°
Atoms (fractional coordinates):
La  0.000  0.000  0.000
Pr  0.579  0.579  0.579
Pr  0.757  0.757  0.757
Sc  0.167  0.167  0.167

Computed properties:
* calculated volume: 33.2 A^3/atom
* Fermi-level density of states: 6.0 states/eV/cell
* size of the total moment: 0.00 μB per formula unit

---

Of them, three) has the lowest stability.

---

one) An optimized crystal structure of La5Pr12Sc2, computed with PBE-GGA.

a = 11.948 Å, b = 11.948 Å, c = 8.899 Å
α = 110.79°, β = 110.79°, γ = 35.06°
Atoms (fractional coordinates):
La  0.000  0.000  0.000
La  0.245  0.245  0.983
La  0.353  0.353  0.407
La  0.647  0.647  0.593
La  0.755  0.755  0.017
Pr  0.049  0.544  0.708
Pr  0.129  0.129  0.523
Pr  0.153  0.640  0.127
Pr  0.360  0.847  0.873
Pr  0.451  0.451  0.801
Pr  0.456  0.951  0.292
Pr  0.544  0.049  0.708
Pr  0.549  0.549  0.199
Pr  0.640  0.153  0.127
Pr  0.847  0.360  0.873
Pr  0.871  0.871  0.477
Pr  0.951  0.456  0.292
Sc  0.270  0.730  0.500
Sc  0.730  0.270  0.500

Computed properties:
* calculated volume: 35.6 A^3/atom
* Fermi-level density of states: 30.0 states/eV/cell
* size of the total moment: 0.00 μB per formula unit

---

two) An optimized crystal structure of La5Pr12Sc2, computed with PBE-GGA.

a = 10.178 Å, b = 10.178 Å, c = 9.654 Å
α = 109.82°, β = 109.82°, γ = 46.89°
Atoms (fractional coordinates):
La  0.000  0.000  0.000
La  0.225  0.225  0.726
La  0.311  0.311  0.303
La  0.689  0.689  0.697
La  0.775  0.775  0.274
Pr  0.040  0.040  0.676
Pr  0.072  0.633  0.625
Pr  0.094  0.603  0.021
Pr  0.367  0.928  0.375
Pr  0.397  0.906  0.979
Pr  0.479  0.479  0.819
Pr  0.521  0.521  0.181
Pr  0.603  0.094  0.021
Pr  0.633  0.072  0.625
Pr  0.906  0.397  0.979
Pr  0.928  0.367  0.375
Pr  0.960  0.960  0.324
Sc  0.330  0.670  0.500
Sc  0.670  0.330  0.500

Computed properties:
* calculated volume: 35.7 A^3/atom
* Fermi-level density of states: 30.8 states/eV/cell
* size of the total moment: 0.00 μB per formula unit

---

Of them, two) has the lowest stability.

---

one) An optimized crystal structure of La3Pr4Sc, computed with PBE-GGA.

a = 9.098 Å, b = 9.098 Å, c = 9.098 Å
α = 157.34°, β = 98.03°, γ = 86.42°
Atoms (fractional coordinates):
La  0.000  0.000  0.000
La  0.263  0.763  0.500
La  0.737  0.237  0.500
Pr  0.124  0.368  0.755
Pr  0.387  0.632  0.755
Pr  0.613  0.368  0.245
Pr  0.876  0.632  0.245
Sc  0.500  0.500  0.000

Computed properties:
* calculated volume: 35.4 A^3/atom
* Fermi-level density of states: 11.7 states/eV/cell
* size of the total moment: 0.00 μB per formula unit

---

two) An optimized crystal structure of La3Pr4Sc, computed with PBE-GGA.

a = 12.427 Å, b = 12.427 Å, c = 6.352 Å
α = 104.70°, β = 104.70°, γ = 17.11°
Atoms (fractional coordinates):
La  0.000  0.000  0.000
La  0.251  0.251  0.251
La  0.749  0.749  0.749
Pr  0.121  0.121  0.459
Pr  0.376  0.376  0.042
Pr  0.624  0.624  0.958
Pr  0.879  0.879  0.541
Sc  0.500  0.500  0.500

Computed properties:
* calculated volume: 34.9 A^3/atom
* Fermi-level density of states: 11.7 states/eV/cell
* size of the total moment: 0.00 μB per formula unit

---

Of them, one) has the lowest stability.